(1)
The following is a PBE-GGA calculation of a relaxed structure of GaSnNO2, from Alexandria via LeMat-Bulk.

Its density of states at the Fermi level is 3.11 states/eV/f.u. The formation energy from raw total energies comes out at -24 meV/atom.

The structure belongs to space group P4/mmm (No. 123); the cell edges are 4.0029, 4.0029 and 4.2990 Å and the angles 90.00°, 90.00° and 90.00°. Symmetry generates all atoms from Ga at (0.0000, 0.0000, 0.0000), Sn at (0.5000, 0.5000, 0.5000), N at (0.5000, 0.5000, 0.0000) and O at (0.0000, 0.5000, 0.5000).

(2)
The following is a PBE-GGA calculation of a relaxed structure of CaZrCo2, from Alexandria via LeMat-Bulk.

Its density of states at the Fermi level is 1.96 states/eV/f.u. As for the formation energy: -37.1 meV per atom.

The structure belongs to space group Pmmm (No. 47); the cell edges are 3.2187, 3.2481 and 6.7954 Å and the angles 90.00°, 90.00° and 90.00°. Symmetry generates all atoms from Ca at (0.0000, 0.0000, 0.0000), Zr at (0.0000, 0.0000, 0.5000) and Co at (0.5000, 0.5000, 0.2932).

(3)
The following is a PBE-GGA calculation of a relaxed structure of TaV2Te6, from Alexandria via LeMat-Bulk.

Its density of states at the Fermi level is 4.53 states/eV/f.u. As for the polymorph energy (0 for the lowest one): 0.000 eV per atom. The formation energy from raw total energies comes out at -319 meV/atom.

The structure belongs to space group C2/m (No. 12); the cell edges are 14.8133, 3.6777 and 11.1731 Å and the angles 90.00°, 122.83° and 90.00°. Symmetry generates all atoms from Ta at (0.0000, 0.0000, 0.0000), V at (0.1700, 0.5000, 0.3425), Te at (0.0091, 0.0000, 0.2557), Te at (0.1673, 0.5000, 0.0916) and Te at (0.1723, 0.5000, 0.5836).

(4)
The following is a PBE-GGA calculation of a relaxed structure of Sr2HgOs, from Alexandria via LeMat-Bulk.

Its density of states at the Fermi level is 3.23 states/eV/f.u. As for the formation energy: 259.5 meV per atom.

The structure belongs to space group Amm2 (No. 38); the cell edges are 4.6358, 4.5051 and 11.4104 Å and the angles 90.00°, 90.00° and 90.00°. Symmetry generates all atoms from Sr at (0.0000, 0.0000, 0.0000), Sr at (0.5000, 0.0000, 0.2850), Hg at (0.5000, 0.0000, 0.5782) and Os at (0.0000, 0.0000, 0.7041).

(5)
The following is a PBE-GGA calculation of a relaxed structure of V2CrGe, from Alexandria via LeMat-Bulk.

Its density of states at the Fermi level is 3.83 states/eV/f.u. As for the formation energy: -136.5 meV per atom.

The structure belongs to space group P4/mmm (No. 123); the cell edges are 3.1356, 3.1356 and 5.3631 Å and the angles 90.00°, 90.00° and 90.00°. Symmetry generates all atoms from V at (0.0000, 0.0000, 0.2421), Cr at (0.5000, 0.5000, 0.0000) and Ge at (0.5000, 0.5000, 0.5000).

(6)
The following is a PBE-GGA calculation of a relaxed structure of CuAg2RhCl6, from Alexandria via LeMat-Bulk.

The formation energy from raw total energies comes out at -504 meV/atom.

The structure belongs to space group P1 (No. 1); the cell edges are 6.5185, 6.6671 and 6.6897 Å and the angles 119.64°, 100.13° and 102.28°. Symmetry generates all atoms from Cu at (0.0000, 0.0000, 0.0000), Ag at (0.5325, 0.8236, 0.8304), Ag at (0.8167, 0.5973, 0.2642), Rh at (0.7873, 0.2521, 0.5871), Cl at (0.0095, 0.0527, 0.3610), Cl at (0.0182, 0.3116, 0.9474), Cl at (0.0263, 0.6483, 0.6966), Cl at (0.5495, 0.8663, 0.4742), Cl at (0.5535, 0.1992, 0.2363) and Cl at (0.5640, 0.4388, 0.8088).

(7)
The following is a PBE-GGA calculation of a relaxed structure of AgHg2Ru, from Alexandria via LeMat-Bulk.

Its density of states at the Fermi level is 2.72 states/eV/f.u. As for the formation energy: 393.5 meV per atom. As for the polymorph energy (0 for the lowest one): 0.009 eV per atom.

The structure belongs to space group R-3m (No. 166, hexagonal axes); the cell edges are 3.0059, 3.0059 and 28.5310 Å and the angles 90.00°, 90.00° and 120.00°. Symmetry generates all atoms from Ag at (0.0000, 0.0000, 0.0000), Hg at (0.0000, 0.0000, 0.2472) and Ru at (0.0000, 0.0000, 0.5000).

(8)
The following is a PBE-GGA calculation of a relaxed structure of NdTmRh4, from Alexandria via LeMat-Bulk.

Its density of states at the Fermi level is 4.02 states/eV/f.u. As for the formation energy: -699.6 meV per atom.

The structure belongs to space group F-43m (No. 216); the cell edges are 7.5845, 7.5845 and 7.5845 Å and the angles 90.00°, 90.00° and 90.00°. Symmetry generates all atoms from Nd at (0.0000, 0.0000, 0.0000), Tm at (0.2500, 0.2500, 0.7500) and Rh at (0.1248, 0.1248, 0.3752).

(9)
The following is a PBE-GGA calculation of a relaxed structure of LaCdW2Br, from Alexandria via LeMat-Bulk.

Its density of states at the Fermi level is 5.84 states/eV/f.u. As for the polymorph energy (0 for the lowest one): 0.000 eV per atom. The formation energy from raw total energies comes out at 1463 meV/atom.

The structure belongs to space group P4/mmm (No. 123); the cell edges are 4.7114, 4.7114 and 5.6155 Å and the angles 90.00°, 90.00° and 90.00°. Symmetry generates all atoms from La at (0.0000, 0.0000, 0.0000), Cd at (0.5000, 0.5000, 0.0000), W at (0.0000, 0.5000, 0.5000) and Br at (0.5000, 0.5000, 0.5000).

(10)
The following is a PBE-GGA calculation of a relaxed structure of EuTaAs2, from Alexandria via LeMat-Bulk.

Its density of states at the Fermi level is 3.25 states/eV/f.u. As for the formation energy: -567.5 meV per atom. As for the polymorph energy (0 for the lowest one): 0.209 eV per atom.

The structure belongs to space group P4/mmm (No. 123); the cell edges are 3.3352, 3.3352 and 7.2627 Å and the angles 90.00°, 90.00° and 90.00°. Symmetry generates all atoms from Eu at (0.0000, 0.0000, 0.0000), Ta at (0.0000, 0.0000, 0.5000) and As at (0.5000, 0.5000, 0.2941).

(11)
The following is a PBE-GGA calculation of a relaxed structure of Tb4Sm2DyTm, from Alexandria via LeMat-Bulk.

Its density of states at the Fermi level is 17.29 states/eV/f.u. As for the formation energy: 428.3 meV per atom.

The structure belongs to space group C2/c (No. 15); the cell edges are 13.6125, 13.2658 and 6.8077 Å and the angles 90.00°, 120.01° and 90.00°. Symmetry generates all atoms from Tb at (0.0001, 0.2459, 0.0012), Tb at (0.2465, 0.0014, 0.4949), Sm at (0.0000, 0.5000, 0.0000), Sm at (0.2500, 0.2500, 0.0000), Dy at (0.2500, 0.2500, 0.5000) and Tm at (0.0000, 0.0000, 0.0000).

(12)
The following is a PBE-GGA calculation of a relaxed structure of TaCdOs4, from Alexandria via LeMat-Bulk.

Its density of states at the Fermi level is 6.92 states/eV/f.u. As for the formation energy: 335.9 meV per atom.

The structure belongs to space group F-43m (No. 216); the cell edges are 7.3450, 7.3450 and 7.3450 Å and the angles 90.00°, 90.00° and 90.00°. Symmetry generates all atoms from Ta at (0.0000, 0.0000, 0.0000), Cd at (0.2500, 0.2500, 0.7500) and Os at (0.1248, 0.1248, 0.3752).

(13)
The following is a PBE-GGA calculation of a relaxed structure of TmCd6Hg8, from Alexandria via LeMat-Bulk.

Its density of states at the Fermi level is 6.50 states/eV/f.u. As for the formation energy: -24.6 meV per atom.

The structure belongs to space group R-3 (No. 148, hexagonal axes); the cell edges are 9.7068, 9.7068 and 14.1650 Å and the angles 90.00°, 90.00° and 120.00°. Symmetry generates all atoms from Tm at (0.0000, 0.0000, 0.0000), Cd at (0.0283, 0.2013, 0.4047), Hg at (0.0000, 0.0000, 0.2212) and Hg at (0.0189, 0.2858, 0.9043).

(14)
The following is a PBE-GGA calculation of a relaxed structure of TiMnCl2, from Alexandria via LeMat-Bulk.

Its density of states at the Fermi level is 2.29 states/eV/f.u. As for the polymorph energy (0 for the lowest one): 0.000 eV per atom. The formation energy from raw total energies comes out at -262 meV/atom.

The structure belongs to space group R-3m (No. 166, hexagonal axes); the cell edges are 3.2384, 3.2384 and 24.6903 Å and the angles 90.00°, 90.00° and 120.00°. Symmetry generates all atoms from Ti at (0.0000, 0.0000, 0.0000), Mn at (0.0000, 0.0000, 0.5000) and Cl at (0.0000, 0.0000, 0.0982).

(15)
The following is a PBE-GGA calculation of a relaxed structure of NaNiPCl2, from Alexandria via LeMat-Bulk.

Its density of states at the Fermi level is 12.71 states/eV/f.u. As for the polymorph energy (0 for the lowest one): 1.123 eV per atom. The formation energy from raw total energies comes out at 744 meV/atom.

The structure belongs to space group P4/mmm (No. 123); the cell edges are 4.8630, 4.8630 and 5.2819 Å and the angles 90.00°, 90.00° and 90.00°. Symmetry generates all atoms from Na at (0.0000, 0.0000, 0.0000), Ni at (0.5000, 0.5000, 0.5000), P at (0.0000, 0.0000, 0.5000) and Cl at (0.0000, 0.5000, 0.0000).

(16)
The following is a PBE-GGA calculation of a relaxed structure of SrCd2As, from Alexandria via LeMat-Bulk.

Its density of states at the Fermi level is 1.35 states/eV/f.u. As for the formation energy: -400.0 meV per atom.

The structure belongs to space group P4/mmm (No. 123); the cell edges are 4.4168, 4.4168 and 5.3163 Å and the angles 90.00°, 90.00° and 90.00°. Symmetry generates all atoms from Sr at (0.0000, 0.0000, 0.0000), Cd at (0.0000, 0.5000, 0.5000) and As at (0.5000, 0.5000, 0.0000).

(17)
The following is a PBE-GGA calculation of a relaxed structure of Li3Al, from Alexandria via LeMat-Bulk.

Its density of states at the Fermi level is 1.48 states/eV/f.u. As for the formation energy: -76.9 meV per atom.

The structure belongs to space group C2/m (No. 12); the cell edges are 9.5952, 2.8551 and 5.0268 Å and the angles 90.00°, 99.92° and 90.00°. Symmetry generates all atoms from Li at (0.0000, 0.0000, 0.0000), Li at (0.2464, 0.0000, 0.7374) and Al at (0.0000, 0.5000, 0.5000).

(18)
The following is a PBE-GGA calculation of a relaxed structure of LaRe2I, from Alexandria via LeMat-Bulk.

Its density of states at the Fermi level is 4.12 states/eV/f.u. As for the polymorph energy (0 for the lowest one): 0.000 eV per atom. The formation energy from raw total energies comes out at 863 meV/atom.

The structure belongs to space group I-42d (No. 122); the cell edges are 4.2488, 4.2488 and 21.3668 Å and the angles 90.00°, 90.00° and 90.00°. Symmetry generates all atoms from La at (0.0000, 0.0000, 0.0000), Re at (0.1554, 0.2500, 0.6250) and I at (0.0000, 0.0000, 0.5000).

(19)
The following is a PBE-GGA calculation of a relaxed structure of Al2MoPd2, from Alexandria via LeMat-Bulk.

Its density of states at the Fermi level is 3.70 states/eV/f.u. As for the formation energy: -448.4 meV per atom.

The structure belongs to space group P4/mbm (No. 127); the cell edges are 7.3634, 7.3634 and 2.7637 Å and the angles 90.00°, 90.00° and 90.00°. Symmetry generates all atoms from Al at (0.1474, 0.3526, 0.0000), Mo at (0.0000, 0.0000, 0.0000) and Pd at (0.1508, 0.6508, 0.5000).

(20)
The following is a PBE-GGA calculation of a relaxed structure of Pd2PbBr, from Alexandria via LeMat-Bulk.

Its density of states at the Fermi level is 1.08 states/eV/f.u. As for the polymorph energy (0 for the lowest one): 0.000 eV per atom. The formation energy from raw total energies comes out at -48 meV/atom.

The structure belongs to space group Fm-3m (No. 225); the cell edges are 6.8629, 6.8629 and 6.8629 Å and the angles 90.00°, 90.00° and 90.00°. Symmetry generates all atoms from Pd at (0.2500, 0.2500, 0.2500), Pb at (0.0000, 0.0000, 0.0000) and Br at (0.0000, 0.0000, 0.5000).

(21)
The following is a PBE-GGA calculation of a relaxed structure of FeHgPb2, from Alexandria via LeMat-Bulk.

Its density of states at the Fermi level is 3.20 states/eV/f.u. As for the formation energy: 363.4 meV per atom.

The structure belongs to space group R-3m (No. 166, hexagonal axes); the cell edges are 3.5225, 3.5225 and 27.9070 Å and the angles 90.00°, 90.00° and 120.00°. Symmetry generates all atoms from Fe at (0.0000, 0.0000, 0.0000), Hg at (0.0000, 0.0000, 0.5000) and Pb at (0.0000, 0.0000, 0.2647).

(22)
The following is a PBE-GGA calculation of a relaxed structure of TbPm6Al, from Alexandria via LeMat-Bulk.

Its density of states at the Fermi level is 8.52 states/eV/f.u. As for the formation energy: -62.8 meV per atom. As for the polymorph energy (0 for the lowest one): 0.000 eV per atom.

The structure belongs to space group P4/mmm (No. 123); the cell edges are 4.9532, 4.9532 and 10.2017 Å and the angles 90.00°, 90.00° and 90.00°. Symmetry generates all atoms from Tb at (0.0000, 0.0000, 0.0000), Pm at (0.0000, 0.5000, 0.2619), Pm at (0.5000, 0.5000, 0.0000), Pm at (0.5000, 0.5000, 0.5000) and Al at (0.0000, 0.0000, 0.5000).

(23)
The following is a PBE-GGA calculation of a relaxed structure of KFe2I6Cl2, from Alexandria via LeMat-Bulk.

Its density of states at the Fermi level is 8.38 states/eV/f.u. The formation energy from raw total energies comes out at -482 meV/atom.

The structure belongs to space group P-3 (No. 147); the cell edges are 7.5320, 7.5320 and 11.1133 Å and the angles 90.00°, 90.00° and 120.00°. Symmetry generates all atoms from K at (0.0000, 0.0000, 0.0000), Fe at (0.3333, 0.6667, 0.7203), I at (0.0070, 0.3948, 0.1955) and Cl at (0.3333, 0.6667, 0.5273).

(24)
The following is a PBE-GGA calculation of a relaxed structure of NaMgBrCl2, from Alexandria via LeMat-Bulk.

Its density of states at the Fermi level is 0.00 states/eV/f.u. The formation energy from raw total energies comes out at -1686 meV/atom.

The structure belongs to space group Cmcm (No. 63); the cell edges are 3.7220, 12.6873 and 9.9693 Å and the angles 90.00°, 90.00° and 90.00°. Symmetry generates all atoms from Na at (0.0000, 0.2356, 0.2500), Mg at (0.0000, 0.0000, 0.0000), Br at (0.0000, 0.0859, 0.7500) and Cl at (0.0000, 0.3733, 0.5635).

(25)
The following is a PBE-GGA calculation of a relaxed structure of Pm3YIr, from Alexandria via LeMat-Bulk.

Its density of states at the Fermi level is 6.37 states/eV/f.u. As for the formation energy: -297.1 meV per atom. As for the polymorph energy (0 for the lowest one): 0.000 eV per atom.

The structure belongs to space group Ima2 (No. 46); the cell edges are 9.6848, 7.4558 and 8.8428 Å and the angles 90.00°, 90.00° and 90.00°. Symmetry generates all atoms from Pm at (0.0371, 0.2504, 0.0000), Pm at (0.2500, 0.5142, 0.2506), Y at (0.2500, 0.5222, 0.7494) and Ir at (0.2500, 0.7488, 0.0001).

(26)
The following is a PBE-GGA calculation of a relaxed structure of HoAlRe, from Alexandria via LeMat-Bulk.

Its density of states at the Fermi level is 2.09 states/eV/f.u. As for the formation energy: -374.4 meV per atom. As for the polymorph energy (0 for the lowest one): 0.000 eV per atom.

The structure belongs to space group Imma (No. 74); the cell edges are 5.3523, 5.5338 and 7.6093 Å and the angles 90.00°, 90.00° and 90.00°. Symmetry generates all atoms from Ho at (0.0000, 0.2500, 0.1172), Al at (0.0000, 0.0000, 0.5000) and Re at (0.2500, 0.2500, 0.7500).

| no. | mass density (g cm⁻³) |
| --- | --- |
| 1 | 5.7 |
| 2 | 5.8 |
| 3 | 6.8 |
| 4 | 7.9 |
| 5 | 7.1 |
| 6 | 4.2 |
| 7 | 13.6 |
| 8 | 11.0 |
| 9 | 9.3 |
| 10 | 9.9 |
| 11 | 7.9 |
| 12 | 17.7 |
| 13 | 10.6 |
| 14 | 3.9 |
| 15 | 2.4 |
| 16 | 6.2 |
| 17 | 1.2 |
| 18 | 11.0 |
| 19 | 8.0 |
| 20 | 10.3 |
| 21 | 11.1 |
| 22 | 7.0 |
| 23 | 3.0 |
| 24 | 2.8 |
| 25 | 7.4 |
| 26 | 11.1 |